This record from Alexandria via LeMat-Bulk describes crystalline Tl2CdCoN at its relaxed geometry. The functional is GGA-PBE.

Lattice parameters (Å, degrees): 5.7262 3.4381 5.7262 90.00 90.00 90.00
Last column: nearest neighbours and their distance in Å.
Atoms (fractional coordinates):
Tl1 0.0000 0.0000 0.5000  2 N 2.86
Tl2 0.5000 0.0000 0.0000  2 N 2.86
N1 0.0000 0.0000 0.0000  2 Co 1.72
Co1 0.0000 0.5000 0.0000  2 N 1.72
Cd1 0.5000 0.5000 0.5000  8 Tl 3.34, 2 Cd 3.44

***

This record from Alexandria via LeMat-Bulk describes crystalline Y2CdCoN at its relaxed geometry. The functional is GGA-PBE.

Lattice parameters (Å, degrees): 4.9950 4.9950 3.7296 90.00 90.00 90.00
Last column: nearest neighbours and their distance in Å.
Atoms (fractional coordinates):
Y1 0.0000 0.5000 0.0000  2 N 2.50
Y2 0.5000 0.0000 0.0000  2 N 2.50
N1 0.0000 0.0000 0.0000  2 Co 1.86
Co1 0.0000 0.0000 0.5000  2 N 1.86
Cd1 0.5000 0.5000 0.5000  8 Y 3.12

***

This record from Alexandria via LeMat-Bulk describes crystalline Na3CdCo at its relaxed geometry. The functional is GGA-PBE.

Lattice parameters (Å, degrees): 5.3729 5.3729 5.3729 90.00 90.00 90.00
Last column: nearest neighbours and their distance in Å.
Atoms (fractional coordinates):
Na1 0.0000 0.5000 0.0000  2 Co 2.69
Na2 0.0000 0.0000 0.5000  2 Co 2.69
Na3 0.5000 0.0000 0.0000  2 Co 2.69
Co1 0.0000 0.0000 0.0000  6 Na 2.69
Cd1 0.5000 0.5000 0.5000  12 Na 3.80

Output
As for the energy of formation from the pure elements: 767.2 meV per atom.

***

no.,spin magnetization (μB/f.u.),E (eV/atom)
1,0.0,-3.86
2,1.3,-6.50
3,0.0,-1.63